Computed, not measured: a relaxed structure of Ca3La12H5 at the PBE level of DFT.

Energy = -326.8 eV/cell
SG = Ia-3d
D(E_F) = 95.41 states/eV/cell
Calculated volume = 2459.66 Å³ per cell
Magnetization = 0.00 μB/f.u.
Crystal system = cubic

a b c (Å): 14.729 14.729 14.729
angles (deg): 109.47 109.47 109.47
Fractional coordinates of all 80 atoms:
La1 0.696 0.194 0.597
La2 0.902 0.097 0.904
La3 0.196 0.097 0.694
La4 0.998 0.402 0.804
La5 0.196 0.098 0.002
La6 0.598 0.002 0.696
La7 0.903 0.804 0.806
La8 0.097 0.196 0.194
La9 0.304 0.806 0.403
La10 0.498 0.194 0.096
La11 0.002 0.598 0.196
La12 0.402 0.404 0.597
La13 0.998 0.596 0.694
La14 0.404 0.002 0.806
La15 0.306 0.403 0.804
La16 0.806 0.304 0.903
La17 0.498 0.304 0.902
La18 0.096 0.403 0.098
La19 0.096 0.694 0.498
La20 0.904 0.597 0.902
La21 0.694 0.597 0.196
La22 0.696 0.502 0.598
La23 0.403 0.306 0.304
La24 0.502 0.696 0.098
La25 0.597 0.904 0.402
La26 0.902 0.804 0.498
La27 0.596 0.998 0.194
La28 0.904 0.306 0.502
La29 0.403 0.096 0.598
La30 0.903 0.098 0.596
La31 0.694 0.096 0.998
La32 0.098 0.196 0.502
La33 0.097 0.902 0.404
La34 0.596 0.598 0.903
La35 0.098 0.903 0.096
La36 0.804 0.902 0.998
La37 0.194 0.498 0.596
La38 0.804 0.903 0.306
La39 0.002 0.404 0.306
La40 0.502 0.806 0.904
La41 0.402 0.998 0.304
La42 0.194 0.696 0.097
La43 0.404 0.402 0.097
La44 0.306 0.904 0.002
La45 0.304 0.498 0.402
La46 0.598 0.596 0.403
La47 0.597 0.694 0.696
La48 0.806 0.502 0.404
Ca1 0.250 0.125 0.375
Ca2 0.250 0.625 0.875
Ca3 0.875 0.125 0.250
Ca4 0.625 0.250 0.375
Ca5 0.625 0.375 0.750
Ca6 0.375 0.625 0.250
Ca7 0.125 0.875 0.750
Ca8 0.875 0.750 0.125
Ca9 0.750 0.875 0.625
Ca10 0.125 0.250 0.875
Ca11 0.750 0.375 0.125
Ca12 0.375 0.750 0.625
H1 0.500 0.500 0.500
H2 0.750 0.625 0.375
H3 0.375 0.125 0.750
H4 0.250 0.375 0.625
H5 0.750 0.125 0.875
H6 0.125 0.375 0.250
H7 0.875 0.625 0.750
H8 0.375 0.250 0.125
H9 0.000 0.000 0.000
H10 0.625 0.750 0.875
H11 0.250 0.875 0.125
H12 0.625 0.875 0.250
H13 0.500 0.500 0.000
H14 0.500 0.000 0.000
H15 0.000 0.000 0.500
H16 0.125 0.750 0.375
H17 0.000 0.500 0.000
H18 0.875 0.250 0.625
H19 0.500 0.000 0.500
H20 0.000 0.500 0.500

Computed, not measured: a relaxed structure of Ca2LaH at the PBE level of DFT.

SG = R-3m
D(E_F) = 3.71 states/eV/cell
Calculated volume = 113.36 Å³ per cell
ΔE to the lowest computed polymorph = 0.41 eV per formula unit
Magnetization = 0.00 μB/f.u.
Crystal system = trigonal

a b c (Å): 3.609 3.609 10.266
angles (deg): 79.88 79.88 60.00
Fractional coordinates of all 4 atoms:
H1 0.500 0.500 0.500
Ca1 0.883 0.883 0.352
Ca2 0.117 0.117 0.648
La1 0.000 0.000 0.000

Computed, not measured: a relaxed structure of Ca2LaH at the PBE level of DFT.

SG = I-42d
D(E_F) = 15.86 states/eV/cell
Calculated volume = 257.07 Å³ per cell
ΔE to the lowest computed polymorph = 0.26 eV per formula unit
Magnetization = 0.22 μB/f.u.
Crystal system = tetragonal

a b c (Å): 7.138 7.138 7.137
angles (deg): 59.99 59.99 90.00
Fractional coordinates of all 8 atoms:
La1 0.000 0.000 0.000
La2 0.750 0.250 0.500
Ca1 0.371 0.625 0.250
Ca2 0.375 0.621 0.750
Ca3 0.875 0.629 0.750
Ca4 0.379 0.125 0.250
H1 0.500 0.500 0.000
H2 0.250 0.750 0.500

Computed, not measured: a relaxed structure of Ca2LaH at the PBE level of DFT.

SG = R3m
D(E_F) = 3.32 states/eV/cell
Calculated volume = 112.64 Å³ per cell
ΔE to the lowest computed polymorph = 0.00 eV per formula unit
Magnetization = 0.00 μB/f.u.
Crystal system = trigonal

a b c (Å): 3.706 3.706 9.712
angles (deg): 79.00 79.00 59.99
Fractional coordinates of all 4 atoms:
Ca1 0.054 0.054 0.838
Ca2 0.280 0.280 0.158
La1 0.500 0.500 0.500
H1 0.665 0.665 0.004

Computed, not measured: a relaxed structure of Ca3LaH8 at the PBE level of DFT.

Energy = -44.7 eV/cell
SG = Pm-3m
D(E_F) = 1.53 states/eV/cell
Calculated volume = 163.17 Å³ per cell
Magnetization = 0.00 μB/f.u.
Crystal system = cubic

a b c (Å): 5.464 5.464 5.464
angles (deg): 90.00 90.00 90.00
Fractional coordinates of all 12 atoms:
H1 0.747 0.747 0.253
H2 0.747 0.253 0.747
H3 0.253 0.253 0.747
H4 0.747 0.253 0.253
H5 0.253 0.747 0.253
H6 0.747 0.747 0.747
H7 0.253 0.253 0.253
H8 0.253 0.747 0.747
Ca1 0.500 0.500 0.000
Ca2 0.000 0.500 0.500
Ca3 0.500 0.000 0.500
La1 0.000 0.000 0.000

Computed, not measured: a relaxed structure of Ca2LaH at the PBE level of DFT.

SG = Fm-3m
D(E_F) = 4.60 states/eV/cell
Calculated volume = 136.31 Å³ per cell
ΔE to the lowest computed polymorph = 3.57 eV per formula unit
Magnetization = 2.23 μB/f.u.
Crystal system = cubic

a b c (Å): 5.777 5.777 5.777
angles (deg): 60.00 60.00 60.00
Fractional coordinates of all 4 atoms:
La1 0.500 0.500 0.500
Ca1 0.250 0.250 0.250
Ca2 0.750 0.750 0.750
H1 0.000 0.000 0.000

Computed, not measured: a relaxed structure of Ca2LaH6 at the PBE level of DFT.

Energy = -28.6 eV/cell
SG = Fm-3m
D(E_F) = 2.45 states/eV/cell
Calculated volume = 140.03 Å³ per cell
Magnetization = 0.00 μB/f.u.
Crystal system = cubic

a b c (Å): 5.829 5.829 5.829
angles (deg): 60.00 60.00 60.00
Fractional coordinates of all 9 atoms:
Ca1 0.750 0.750 0.750
Ca2 0.250 0.250 0.250
La1 0.000 0.000 0.000
H1 0.724 0.724 0.276
H2 0.276 0.276 0.724
H3 0.276 0.724 0.724
H4 0.724 0.276 0.724
H5 0.276 0.724 0.276
H6 0.724 0.276 0.276

Computed, not measured: a relaxed structure of Li2CaLaH at the PBE level of DFT.

Energy = -14.2 eV/cell
SG = P4/mmm
D(E_F) = 3.78 states/eV/cell
Calculated volume = 125.50 Å³ per cell
Magnetization = 0.00 μB/f.u.
Crystal system = tetragonal

a b c (Å): 5.250 5.250 4.552
angles (deg): 90.00 90.00 90.00
Fractional coordinates of all 5 atoms:
H1 0.000 0.000 0.000
Ca1 0.500 0.500 0.500
Li1 0.000 0.500 0.000
Li2 0.500 0.000 0.000
La1 0.000 0.000 0.500